i:
Entry from the Alexandria database: an optimized crystal structure of Be2ZnTe (PBE-GGA).

Values from the calculation:
- Space group: Cmmm (65)
- Calculated volume: 68.1 Å³/f.u.

a = 4.2175 Å, b = 4.2175 Å, c = 4.5676 Å
α = 90.00°, β = 90.00°, γ = 56.89°
Atoms (fractional coordinates):
Te: 0.2500 0.2500 0.2500
Be: 0.4311 0.4311 0.7501
Zn: 0.7500 0.7500 0.7500
Be: 0.0689 0.0689 0.7499



ii:
Entry from the Alexandria database: an optimized crystal structure of Be2ZnTe (PBE-GGA).

Values from the calculation:
- Space group: Immm (71)
- Calculated volume: 64.3 Å³/f.u.

a = 4.7640 Å, b = 4.7640 Å, c = 4.7640 Å
α = 135.46°, β = 119.15°, γ = 78.47°
Atoms (fractional coordinates):
Be: 0.0144 0.0144 0.0000
Te: 0.7500 0.2500 0.5000
Be: 0.4856 0.4856 0.0000
Zn: 0.2500 0.7500 0.5000



Which one sits at the top of the stability order? i does.



i:
Entry from the Alexandria database: an optimized crystal structure of Be2ZnTe (PBE-GGA).

Values from the calculation:
- Space group: C2/m (12)
- Calculated volume: 65.2 Å³/f.u.

a = 5.6676 Å, b = 4.4113 Å, c = 3.5826 Å
α = 81.16°, β = 66.87°, γ = 118.87°
Atoms (fractional coordinates):
Be: 0.0000 0.0000 0.0000
Te: 0.0000 0.5000 0.5000
Be: 0.5000 0.0000 0.5000
Zn: 0.5000 0.5000 0.0000



ii:
Entry from the Alexandria database: an optimized crystal structure of Be2ZnTe (PBE-GGA).

Values from the calculation:
- Space group: Cmmm (65)
- Calculated volume: 65.3 Å³/f.u.

a = 4.4298 Å, b = 4.4298 Å, c = 3.4872 Å
α = 90.00°, β = 90.00°, γ = 107.49°
Atoms (fractional coordinates):
Be: 0.0000 0.0000 0.0000
Be: 0.5000 0.5000 0.0000
Zn: 0.0000 0.5000 0.5000
Te: 0.5000 0.0000 0.5000



Which one sits at the top of the stability order? i does.



i:
Entry from the Alexandria database: an optimized crystal structure of BeZn3Te (PBE-GGA).

Values from the calculation:
- Space group: Pm-3m (221)
- Calculated volume: 153.0 Å³/f.u.

a = 5.3482 Å, b = 5.3482 Å, c = 5.3482 Å
α = 90.00°, β = 90.00°, γ = 90.00°
Atoms (fractional coordinates):
Zn: 0.0000 0.5000 0.0000
Zn: 0.5000 0.0000 0.0000
Zn: 0.0000 0.0000 0.5000
Te: 0.0000 0.0000 0.0000
Be: 0.5000 0.5000 0.5000



ii:
Entry from the Alexandria database: an optimized crystal structure of BeZn3Te (PBE-GGA).

Values from the calculation:
- Space group: Pm-3m (221)
- Calculated volume: 94.4 Å³/f.u.

a = 4.5529 Å, b = 4.5529 Å, c = 4.5529 Å
α = 90.00°, β = 90.00°, γ = 90.00°
Atoms (fractional coordinates):
Be: 0.0000 0.0000 0.0000
Zn: 0.0000 0.5000 0.0000
Zn: 0.0000 0.0000 0.5000
Zn: 0.5000 0.0000 0.0000
Te: 0.5000 0.5000 0.5000



Which one sits at the top of the stability order? ii does.



i:
Entry from the Alexandria database: an optimized crystal structure of Be3ZnTe (PBE-GGA).

Values from the calculation:
- Space group: Pm-3m (221)
- Calculated volume: 106.2 Å³/f.u.

a = 4.7358 Å, b = 4.7358 Å, c = 4.7358 Å
α = 90.00°, β = 90.00°, γ = 90.00°
Atoms (fractional coordinates):
Be: 0.0000 0.0000 0.5000
Te: 0.0000 0.0000 0.0000
Be: 0.0000 0.5000 0.0000
Zn: 0.5000 0.5000 0.5000
Be: 0.5000 0.0000 0.0000



ii:
Entry from the Alexandria database: an optimized crystal structure of Be3ZnTe (PBE-GGA).

Values from the calculation:
- Space group: Pm-3m (221)
- Calculated volume: 80.5 Å³/f.u.

a = 4.3186 Å, b = 4.3186 Å, c = 4.3186 Å
α = 90.00°, β = 90.00°, γ = 90.00°
Atoms (fractional coordinates):
Te: 0.5000 0.5000 0.5000
Zn: 0.0000 0.0000 0.0000
Be: 0.0000 0.0000 0.5000
Be: 0.0000 0.5000 0.0000
Be: 0.5000 0.0000 0.0000



Which one sits at the top of the stability order? ii does.